A plane-wave DFT calculation with PBE was carried out for crystalline CePrDyPa at its relaxed geometry.

Unit cell a=5.5707 b=5.5707 c=5.5707 alpha=60.00 beta=60.00 gamma=60.00
Last column: magnetic moment on the atom in μB.
Fractional positions:
Dy (0.2500, 0.2500, 0.2500)  0.29
Pa (0.7500, 0.7500, 0.7500)  1.27
Ce (0.5000, 0.5000, 0.5000)  0.95
Pr (0.0000, 0.0000, 0.0000)  0.16

SG = F-43m
Uncorrected energy = -23.196 eV/f.u.